Here is crystalline PrGe4Pd8 at its relaxed geometry from Alexandria. Energies are from PBE.

DOS at the Fermi energy in states/eV/f.u.: 6.72
Formation energy from the elements in eV/atom: -0.51
Calculated volume in Å³ per cell: 216.7
SG: No. 139
Magnetization in Bohr magnetons per cell: 0.000

Lattice parameters (Å, degrees): 6.870 6.870 6.870 99.04 99.04 133.29
Positions (direct):
1 Pr 0.000 0.000 0.000
2 Ge 0.000 0.000 0.500
3 Ge 0.000 0.500 0.000
4 Ge 0.500 0.000 0.000
5 Ge 0.500 0.500 0.500
6 Pd 0.000 0.336 0.336
7 Pd 0.000 0.664 0.664
8 Pd 0.276 0.500 0.776
9 Pd 0.336 0.000 0.336
10 Pd 0.500 0.276 0.776
11 Pd 0.500 0.724 0.224
12 Pd 0.664 0.000 0.664
13 Pd 0.724 0.500 0.224